[1]
This record from Alexandria describes a PBEsol-optimized structure of ScAl2Tc. The functional is meta-GGA SCAN.

The electronic total energy is -16.66 eV/atom. The theoretical density is 5.2 g/cm3. The formation energy from the elements is -0.4560 eV per atom. The crystal system is tetragonal.

The structure in CIF format:
```
data_ScAl2Tc
_chemical_formula_sum 'Sc2 Al4 Tc2'
_cell_length_a 4.1324
_cell_length_b 4.1324
_cell_length_c 7.3375
_cell_angle_alpha 90.00
_cell_angle_beta 90.00
_cell_angle_gamma 90.00
_symmetry_space_group_name_H-M 'I 4/m m m'
_symmetry_Int_Tables_number 139
_symmetry_space_group_name_Hall '-I 4 2'
loop_
_atom_site_label
_atom_site_fract_x
_atom_site_fract_y
_atom_site_fract_z
Sc1 0.0000 0.0000 0.0000
Al1 0.0000 0.5000 0.2500
Tc1 0.0000 0.0000 0.5000
```



[2]
This record from Alexandria describes a PBEsol-optimized structure of PPt2Cl. The functional is meta-GGA SCAN.

The electronic total energy is -39.64 eV/atom. The theoretical density is 10.3 g/cm3. As for the energy relative to the elements, uncorrected: 53 meV per atom. The crystal system is orthorhombic.

The structure in CIF format:
```
data_PPt2Cl
_chemical_formula_sum 'P2 Pt4 Cl2'
_cell_length_a 3.0144
_cell_length_b 6.3385
_cell_length_c 7.6829
_cell_angle_alpha 90.00
_cell_angle_beta 90.00
_cell_angle_gamma 90.00
_symmetry_space_group_name_H-M 'I m m m'
_symmetry_Int_Tables_number 71
_symmetry_space_group_name_Hall '-I 2 2'
loop_
_atom_site_label
_atom_site_fract_x
_atom_site_fract_y
_atom_site_fract_z
P1 0.0000 0.0000 0.0000
Pt1 0.0000 0.5000 0.2836
Cl1 0.0000 0.0000 0.5000
```



[3]
This record from Alexandria describes a PBEsol-optimized structure of ZnFeNi2. The functional is meta-GGA SCAN.

The electronic total energy is -16.13 eV/atom. The theoretical density is 8.8 g/cm3. The formation energy from the elements is -0.1322 eV per atom. The crystal system is tetragonal.

The structure in CIF format:
```
data_ZnFeNi2
_chemical_formula_sum 'Zn1 Fe1 Ni2'
_cell_length_a 3.6355
_cell_length_b 3.6355
_cell_length_c 3.4002
_cell_angle_alpha 90.00
_cell_angle_beta 90.00
_cell_angle_gamma 90.00
_symmetry_space_group_name_H-M 'P 4/m m m'
_symmetry_Int_Tables_number 123
_symmetry_space_group_name_Hall '-P 4 2'
loop_
_atom_site_label
_atom_site_fract_x
_atom_site_fract_y
_atom_site_fract_z
Zn1 0.0000 0.0000 0.0000
Fe1 0.5000 0.5000 0.0000
Ni1 0.0000 0.5000 0.5000
```



[4]
This record from Alexandria describes a PBEsol-optimized structure of BaLaRh2. The functional is meta-GGA SCAN.

The electronic total energy is -37.75 eV/atom. The theoretical density is 8.5 g/cm3. The formation energy from the elements is -0.2037 eV per atom. The crystal system is tetragonal.

The structure in CIF format:
```
data_BaLaRh2
_chemical_formula_sum 'Ba1 La1 Rh2'
_cell_length_a 5.0167
_cell_length_b 5.0167
_cell_length_c 3.7236
_cell_angle_alpha 90.00
_cell_angle_beta 90.00
_cell_angle_gamma 90.00
_symmetry_space_group_name_H-M 'P 4/m m m'
_symmetry_Int_Tables_number 123
_symmetry_space_group_name_Hall '-P 4 2'
loop_
_atom_site_label
_atom_site_fract_x
_atom_site_fract_y
_atom_site_fract_z
Ba1 0.0000 0.0000 0.0000
La1 0.5000 0.5000 0.0000
Rh1 0.0000 0.5000 0.5000
```



[5]
This record from Alexandria describes a PBEsol-optimized structure of SrCaHgOs2. The functional is meta-GGA SCAN.

The electronic total energy is -47.22 eV/atom. The theoretical density is 8.6 g/cm3. The formation energy from the elements is 1.5579 eV per atom. The crystal system is tetragonal.

The structure in CIF format:
```
data_SrCaHgOs2
_chemical_formula_sum 'Sr1 Ca1 Hg1 Os2'
_cell_length_a 5.0697
_cell_length_b 5.0697
_cell_length_c 5.3284
_cell_angle_alpha 90.00
_cell_angle_beta 90.00
_cell_angle_gamma 90.00
_symmetry_space_group_name_H-M 'P 4/m m m'
_symmetry_Int_Tables_number 123
_symmetry_space_group_name_Hall '-P 4 2'
loop_
_atom_site_label
_atom_site_fract_x
_atom_site_fract_y
_atom_site_fract_z
Sr1 0.0000 0.0000 0.0000
Ca1 0.5000 0.5000 0.0000
Hg1 0.0000 0.0000 0.5000
Os1 0.0000 0.5000 0.5000
```



[6]
This record from Alexandria describes a PBEsol-optimized structure of Cu2ReAu. The functional is meta-GGA SCAN.

The electronic total energy is -42.29 eV/atom. The theoretical density is 15.5 g/cm3. The formation energy from the elements is 0.3737 eV per atom. The crystal system is monoclinic.

The structure in CIF format:
```
data_Cu2ReAu
_chemical_formula_sum 'Cu4 Re2 Au2'
_cell_length_a 8.9801
_cell_length_b 2.6144
_cell_length_c 4.7177
_cell_angle_alpha 90.00
_cell_angle_beta 99.43
_cell_angle_gamma 90.00
_symmetry_space_group_name_H-M 'C 1 m 1'
_symmetry_Int_Tables_number 8
loop_
_symmetry_equiv_pos_as_xyz
'x,y,z'
'x,-y,z'
'x+1/2,y+1/2,z'
'x+1/2,-y+1/2,z'
loop_
_atom_site_label
_atom_site_fract_x
_atom_site_fract_y
_atom_site_fract_z
Cu1 0.0000 0.0000 0.0000
Cu2 0.2438 0.5000 0.2454
Re1 0.4905 0.0000 0.4822
Au1 0.2449 0.0000 0.7496
```



[7]
This record from Alexandria describes a PBEsol-optimized structure of SnAs2O. The functional is meta-GGA SCAN.

The electronic total energy is -20.18 eV/atom. The theoretical density is 7.1 g/cm3. As for the energy relative to the elements, uncorrected: 452 meV per atom. The crystal system is cubic.

The structure in CIF format:
```
data_SnAs2O
_chemical_formula_sum 'Sn4 As8 O4'
_cell_length_a 6.4404
_cell_length_b 6.4404
_cell_length_c 6.4404
_cell_angle_alpha 90.00
_cell_angle_beta 90.00
_cell_angle_gamma 90.00
_symmetry_space_group_name_H-M 'F m -3 m'
_symmetry_Int_Tables_number 225
_symmetry_space_group_name_Hall '-F 4 2 3'
loop_
_atom_site_label
_atom_site_fract_x
_atom_site_fract_y
_atom_site_fract_z
Sn1 0.0000 0.0000 0.0000
As1 0.2500 0.2500 0.2500
O1 0.0000 0.0000 0.5000
```



[8]
This record from Alexandria describes a PBEsol-optimized structure of ZrScP. The functional is meta-GGA SCAN.

The electronic total energy is -19.36 eV/atom. The theoretical density is 4.8 g/cm3. The formation energy from the elements is -0.9107 eV per atom. The crystal system is cubic.

The structure in CIF format:
```
data_ZrScP
_chemical_formula_sum 'Zr4 Sc4 P4'
_cell_length_a 6.1382
_cell_length_b 6.1382
_cell_length_c 6.1382
_cell_angle_alpha 90.00
_cell_angle_beta 90.00
_cell_angle_gamma 90.00
_symmetry_space_group_name_H-M 'F -4 3 m'
_symmetry_Int_Tables_number 216
_symmetry_space_group_name_Hall 'F -4 2 3'
loop_
_atom_site_label
_atom_site_fract_x
_atom_site_fract_y
_atom_site_fract_z
Zr1 0.0000 0.0000 0.0000
Sc1 0.0000 0.0000 0.5000
P1 0.2500 0.2500 0.2500
```



[9]
This record from Alexandria describes a PBEsol-optimized structure of Nd2Cu2O5. The functional is meta-GGA SCAN.

The electronic total energy is -18.89 eV/atom. The theoretical density is 7.9 g/cm3. As for the energy relative to the elements, uncorrected: -2362 meV per atom. The crystal system is orthorhombic.

The structure in CIF format:
```
data_Nd2Cu2O5
_chemical_formula_sum 'Nd4 Cu4 O10'
_cell_length_a 5.5816
_cell_length_b 9.9876
_cell_length_c 3.7511
_cell_angle_alpha 90.00
_cell_angle_beta 90.00
_cell_angle_gamma 90.00
_symmetry_space_group_name_H-M 'P b a m'
_symmetry_Int_Tables_number 55
loop_
_symmetry_equiv_pos_as_xyz
'x,y,z'
'-x,-y,-z'
'-x,-y,z'
'x,y,-z'
'x+1/2,-y+1/2,-z'
'-x+1/2,y+1/2,z'
'-x+1/2,y+1/2,-z'
'x+1/2,-y+1/2,z'
loop_
_atom_site_label
_atom_site_fract_x
_atom_site_fract_y
_atom_site_fract_z
Nd1 0.1510 0.1488 0.0000
Cu1 0.1861 0.4058 0.5000
O1 0.0000 0.0000 0.5000
O2 0.0881 0.7118 0.5000
O3 0.2191 0.4004 0.0000
```



[10]
This record from Alexandria describes a PBEsol-optimized structure of AlOs2W. The functional is meta-GGA SCAN.

The electronic total energy is -55.68 eV/atom. The theoretical density is 17.4 g/cm3. The formation energy from the elements is -0.3780 eV per atom. The crystal system is tetragonal.

The structure in CIF format:
```
data_AlOs2W
_chemical_formula_sum 'Al1 Os2 W1'
_cell_length_a 2.9888
_cell_length_b 2.9888
_cell_length_c 6.3206
_cell_angle_alpha 90.00
_cell_angle_beta 90.00
_cell_angle_gamma 90.00
_symmetry_space_group_name_H-M 'P 4/m m m'
_symmetry_Int_Tables_number 123
_symmetry_space_group_name_Hall '-P 4 2'
loop_
_atom_site_label
_atom_site_fract_x
_atom_site_fract_y
_atom_site_fract_z
Al1 0.0000 0.0000 0.0000
Os1 0.5000 0.5000 0.2383
W1 0.0000 0.0000 0.5000
```



[11]
This record from Alexandria describes a PBEsol-optimized structure of GeAuSe2Br. The functional is meta-GGA SCAN.

The electronic total energy is -28.98 eV/atom. The theoretical density is 6.9 g/cm3. As for the energy relative to the elements, uncorrected: 594 meV per atom. The crystal system is tetragonal.

The structure in CIF format:
```
data_GeAuSe2Br
_chemical_formula_sum 'Ge1 Au1 Se2 Br1'
_cell_length_a 4.9215
_cell_length_b 4.9215
_cell_length_c 5.0275
_cell_angle_alpha 90.00
_cell_angle_beta 90.00
_cell_angle_gamma 90.00
_symmetry_space_group_name_H-M 'P 4/m m m'
_symmetry_Int_Tables_number 123
_symmetry_space_group_name_Hall '-P 4 2'
loop_
_atom_site_label
_atom_site_fract_x
_atom_site_fract_y
_atom_site_fract_z
Ge1 0.0000 0.0000 0.0000
Au1 0.5000 0.5000 0.5000
Se1 0.0000 0.5000 0.0000
Br1 0.0000 0.0000 0.5000
```



[12]
This record from Alexandria describes a PBEsol-optimized structure of Al2CrSe. The functional is meta-GGA SCAN.

The electronic total energy is -13.55 eV/atom. The theoretical density is 5.2 g/cm3. As for the energy relative to the elements, uncorrected: -58 meV per atom. The crystal system is tetragonal.

The structure in CIF format:
```
data_Al2CrSe
_chemical_formula_sum 'Al2 Cr1 Se1'
_cell_length_a 3.2426
_cell_length_b 3.2426
_cell_length_c 5.6690
_cell_angle_alpha 90.00
_cell_angle_beta 90.00
_cell_angle_gamma 90.00
_symmetry_space_group_name_H-M 'P 4/m m m'
_symmetry_Int_Tables_number 123
_symmetry_space_group_name_Hall '-P 4 2'
loop_
_atom_site_label
_atom_site_fract_x
_atom_site_fract_y
_atom_site_fract_z
Al1 0.0000 0.0000 0.2289
Cr1 0.5000 0.5000 0.0000
Se1 0.5000 0.5000 0.5000
```



Question: The highest electronic total energy belongs to which entry?
Answer: Al2CrSe